Mg4Cd5Ag2 | PBE | relaxed

Computed properties:
* DOS at the Fermi energy: 4.06 states/eV per cell
* volume: 232.88 Å³ per cell
* total energy: -0.060 hartree per atom
* density: 6239 kg/m3

Lattice parameters (Å, degrees): 7.5031 3.1586 9.8569 90.00 94.50 90.00
Element x y z (fractional)
Mg 0.1762 0.0000 0.3761
Mg 0.2523 0.0000 0.9450
Mg 0.7477 0.0000 0.0550
Mg 0.8238 0.0000 0.6239
Cd 0.1798 0.5000 0.6535
Cd 0.4526 0.5000 0.1886
Cd 0.5000 0.5000 0.5000
Cd 0.5474 0.5000 0.8114
Cd 0.8202 0.5000 0.3465
Ag 0.0683 0.5000 0.1387
Ag 0.9317 0.5000 0.8613

NaLu3Fe | PBE | relaxed

Computed properties:
* DOS at the Fermi energy: 3.60 states/eV per cell
* volume: 138.57 Å³ per cell
* total energy: -0.167 hartree per atom
* density: 7235 kg/m3

Lattice parameters (Å, degrees): 5.1747 5.1747 5.1747 90.00 90.00 90.00
Element x y z (fractional)
Na 0.0000 0.0000 0.0000
Lu 0.0000 0.5000 0.5000
Lu 0.5000 0.0000 0.5000
Lu 0.5000 0.5000 0.0000
Fe 0.5000 0.5000 0.5000

Ca2ScMn2 | PBE | relaxed

Computed properties:
* DOS at the Fermi energy: 19.01 states/eV per cell
* volume: 250.07 Å³ per cell
* distance to the lowest polymorph of the same formula: 0.0 meV per atom
* density: 3121 kg/m3

Lattice parameters (Å, degrees): 7.3029 7.3029 4.6889 90.00 90.00 90.00
Element x y z (fractional)
Ca 0.1726 0.3274 0.0000
Ca 0.3274 0.8274 0.0000
Ca 0.6726 0.1726 0.0000
Ca 0.8274 0.6726 0.0000
Sc 0.0000 0.0000 0.5000
Sc 0.5000 0.5000 0.5000
Mn 0.1235 0.6235 0.5000
Mn 0.3765 0.1235 0.5000
Mn 0.6235 0.8765 0.5000
Mn 0.8765 0.3765 0.5000